# 1
# PBE-GGA NbIr2Os, optimized geometry
data_NbIr2Os
_symmetry_space_group_name_H-M 'P 4/m m m'
_symmetry_Int_Tables_number 123
_symmetry_space_group_name_Hall '-P 4 2'
_cell_length_a 3.921
_cell_length_b 3.921
_cell_length_c 3.929
_cell_angle_alpha 90.00
_cell_angle_beta 90.00
_cell_angle_gamma 90.00
loop_
_atom_site_label
_atom_site_type_symbol
_atom_site_fract_x
_atom_site_fract_y
_atom_site_fract_z
Nb1 Nb 0.000 0.000 0.000
Ir1 Ir 0.000 0.500 0.500
Os1 Os 0.500 0.500 0.000
# Energy relative to the elements in meV/atom: -432
# Calculated total energy in eV/f.u.: -40.76

---

# 2
# PBE-GGA Nb2IrOs, optimized geometry
data_Nb2IrOs
_symmetry_space_group_name_H-M 'F -4 3 m'
_symmetry_Int_Tables_number 216
_symmetry_space_group_name_Hall 'F -4 2 3'
_cell_length_a 6.375
_cell_length_b 6.375
_cell_length_c 6.375
_cell_angle_alpha 90.00
_cell_angle_beta 90.00
_cell_angle_gamma 90.00
loop_
_atom_site_label
_atom_site_type_symbol
_atom_site_fract_x
_atom_site_fract_y
_atom_site_fract_z
Nb1 Nb 0.000 0.000 0.000
Nb2 Nb 0.250 0.250 0.250
Ir1 Ir 0.250 0.250 0.750
Os1 Os 0.000 0.000 0.500
# Energy relative to the elements in meV/atom: -30
# Calculated total energy in eV/f.u.: -40.39

---

# 3
# PBE-GGA NbIrOs, optimized geometry
data_NbIrOs
_symmetry_space_group_name_H-M 'F -4 3 m'
_symmetry_Int_Tables_number 216
_symmetry_space_group_name_Hall 'F -4 2 3'
_cell_length_a 6.045
_cell_length_b 6.045
_cell_length_c 6.045
_cell_angle_alpha 90.00
_cell_angle_beta 90.00
_cell_angle_gamma 90.00
loop_
_atom_site_label
_atom_site_type_symbol
_atom_site_fract_x
_atom_site_fract_y
_atom_site_fract_z
Nb1 Nb 0.000 0.000 0.000
Ir1 Ir 0.250 0.250 0.250
Os1 Os 0.250 0.250 0.750
# E above lowest polymorph in eV/f.u.: 0.000
# Energy relative to the elements in meV/atom: 369
# Calculated total energy in eV/f.u.: -29.07

---

# 4
# PBE-GGA Nb6IrOs, optimized geometry
data_Nb6IrOs
_symmetry_space_group_name_H-M 'P m -3'
_symmetry_Int_Tables_number 200
_symmetry_space_group_name_Hall '-P 2 2 3'
_cell_length_a 5.177
_cell_length_b 5.177
_cell_length_c 5.177
_cell_angle_alpha 90.00
_cell_angle_beta 90.00
_cell_angle_gamma 90.00
loop_
_atom_site_label
_atom_site_type_symbol
_atom_site_fract_x
_atom_site_fract_y
_atom_site_fract_z
Nb1 Nb 0.000 0.251 0.500
Ir1 Ir 0.000 0.000 0.000
Os1 Os 0.500 0.500 0.500
# Energy relative to the elements in meV/atom: -335
# Calculated total energy in eV/f.u.: -83.32

---

# 5
# PBE-GGA PaNbIr, optimized geometry
data_PaNbIr
_symmetry_space_group_name_H-M 'F -4 3 m'
_symmetry_Int_Tables_number 216
_symmetry_space_group_name_Hall 'F -4 2 3'
_cell_length_a 6.407
_cell_length_b 6.407
_cell_length_c 6.407
_cell_angle_alpha 90.00
_cell_angle_beta 90.00
_cell_angle_gamma 90.00
loop_
_atom_site_label
_atom_site_type_symbol
_atom_site_fract_x
_atom_site_fract_y
_atom_site_fract_z
Pa1 Pa 0.000 0.000 0.000
Nb1 Nb 0.250 0.250 0.250
Ir1 Ir 0.250 0.250 0.750
# E above lowest polymorph in eV/f.u.: 0.955
# Energy relative to the elements in meV/atom: 343
# Calculated total energy in eV/f.u.: -27.42

---

# 6
# PBE-GGA PaNbIr, optimized geometry
data_PaNbIr
_symmetry_space_group_name_H-M 'F -4 3 m'
_symmetry_Int_Tables_number 216
_symmetry_space_group_name_Hall 'F -4 2 3'
_cell_length_a 6.510
_cell_length_b 6.510
_cell_length_c 6.510
_cell_angle_alpha 90.00
_cell_angle_beta 90.00
_cell_angle_gamma 90.00
loop_
_atom_site_label
_atom_site_type_symbol
_atom_site_fract_x
_atom_site_fract_y
_atom_site_fract_z
Pa1 Pa 0.000 0.000 0.000
Nb1 Nb 0.000 0.000 0.500
Ir1 Ir 0.250 0.250 0.250
# E above lowest polymorph in eV/f.u.: 0.000
# Energy relative to the elements in meV/atom: 25
# Calculated total energy in eV/f.u.: -28.37

---

# 7
# PBE-GGA NbIr2Pb, optimized geometry
data_NbIr2Pb
_symmetry_space_group_name_H-M 'F -4 3 m'
_symmetry_Int_Tables_number 216
_symmetry_space_group_name_Hall 'F -4 2 3'
_cell_length_a 6.547
_cell_length_b 6.547
_cell_length_c 6.547
_cell_angle_alpha 90.00
_cell_angle_beta 90.00
_cell_angle_gamma 90.00
loop_
_atom_site_label
_atom_site_type_symbol
_atom_site_fract_x
_atom_site_fract_y
_atom_site_fract_z
Nb1 Nb 0.000 0.000 0.000
Ir1 Ir 0.000 0.000 0.500
Ir2 Ir 0.250 0.250 0.250
Pb1 Pb 0.250 0.250 0.750
# Calculated total energy in eV/f.u.: -30.25

---

# 8
# PBE-GGA NbIrPb2, optimized geometry
data_NbIrPb2
_symmetry_space_group_name_H-M 'F -4 3 m'
_symmetry_Int_Tables_number 216
_symmetry_space_group_name_Hall 'F -4 2 3'
_cell_length_a 6.980
_cell_length_b 6.980
_cell_length_c 6.980
_cell_angle_alpha 90.00
_cell_angle_beta 90.00
_cell_angle_gamma 90.00
loop_
_atom_site_label
_atom_site_type_symbol
_atom_site_fract_x
_atom_site_fract_y
_atom_site_fract_z
Nb1 Nb 0.000 0.000 0.000
Ir1 Ir 0.250 0.250 0.250
Pb1 Pb 0.000 0.000 0.500
Pb2 Pb 0.250 0.250 0.750
# Calculated total energy in eV/f.u.: -23.99

---

# 9
# PBE-GGA TaNbIr2Pb2, optimized geometry
data_TaNbIr2Pb2
_symmetry_space_group_name_H-M 'P 1 m 1'
_symmetry_Int_Tables_number 6
_cell_length_a 8.942
_cell_length_b 4.471
_cell_length_c 13.414
_cell_angle_alpha 90.00
_cell_angle_beta 109.47
_cell_angle_gamma 90.00
loop_
_symmetry_equiv_pos_as_xyz
'x,y,z'
'x,-y,z'
loop_
_atom_site_label
_atom_site_type_symbol
_atom_site_fract_x
_atom_site_fract_y
_atom_site_fract_z
Ta1 Ta 0.000 0.000 0.000
Ta2 Ta 0.125 0.500 0.750
Ta3 Ta 0.250 0.000 0.500
Ta4 Ta 0.500 0.000 0.000
Nb1 Nb 0.375 0.500 0.250
Nb2 Nb 0.625 0.500 0.750
Nb3 Nb 0.750 0.000 0.500
Nb4 Nb 0.875 0.500 0.250
Ir1 Ir 0.062 0.500 0.124
Ir2 Ir 0.187 0.000 0.875
Ir3 Ir 0.311 0.500 0.625
Ir4 Ir 0.437 0.000 0.376
Ir5 Ir 0.562 0.500 0.124
Ir6 Ir 0.688 0.000 0.876
Ir7 Ir 0.814 0.500 0.626
Ir8 Ir 0.939 0.000 0.376
Pb1 Pb 0.125 0.000 0.250
Pb2 Pb 0.250 0.500 0.000
Pb3 Pb 0.376 0.000 0.750
Pb4 Pb 0.501 0.500 0.501
Pb5 Pb 0.625 0.000 0.251
Pb6 Pb 0.750 0.500 0.000
Pb7 Pb 0.874 0.000 0.750
Pb8 Pb 0.999 0.500 0.500
# Calculated total energy in eV/f.u.: -47.79

---

# 10
# PBE-GGA NbIrPd, optimized geometry
data_NbIrPd
_symmetry_space_group_name_H-M 'F -4 3 m'
_symmetry_Int_Tables_number 216
_symmetry_space_group_name_Hall 'F -4 2 3'
_cell_length_a 6.103
_cell_length_b 6.103
_cell_length_c 6.103
_cell_angle_alpha 90.00
_cell_angle_beta 90.00
_cell_angle_gamma 90.00
loop_
_atom_site_label
_atom_site_type_symbol
_atom_site_fract_x
_atom_site_fract_y
_atom_site_fract_z
Nb1 Nb 0.000 0.000 0.000
Ir1 Ir 0.250 0.250 0.250
Pd1 Pd 0.000 0.000 0.500
# E above lowest polymorph in eV/f.u.: 0.194
# Energy relative to the elements in meV/atom: 73
# Calculated total energy in eV/f.u.: -23.91

---

# 11
# PBE-GGA NbIrPd, optimized geometry
data_NbIrPd
_symmetry_space_group_name_H-M 'F -4 3 m'
_symmetry_Int_Tables_number 216
_symmetry_space_group_name_Hall 'F -4 2 3'
_cell_length_a 6.075
_cell_length_b 6.075
_cell_length_c 6.075
_cell_angle_alpha 90.00
_cell_angle_beta 90.00
_cell_angle_gamma 90.00
loop_
_atom_site_label
_atom_site_type_symbol
_atom_site_fract_x
_atom_site_fract_y
_atom_site_fract_z
Nb1 Nb 0.000 0.000 0.000
Ir1 Ir 0.250 0.250 0.750
Pd1 Pd 0.250 0.250 0.250
# E above lowest polymorph in eV/f.u.: 0.000
# Energy relative to the elements in meV/atom: 8
# Calculated total energy in eV/f.u.: -24.10

---

# 12
# PBE-GGA Nb6IrPt, optimized geometry
data_Nb6IrPt
_symmetry_space_group_name_H-M 'P m -3'
_symmetry_Int_Tables_number 200
_symmetry_space_group_name_Hall '-P 2 2 3'
_cell_length_a 5.184
_cell_length_b 5.184
_cell_length_c 5.184
_cell_angle_alpha 90.00
_cell_angle_beta 90.00
_cell_angle_gamma 90.00
loop_
_atom_site_label
_atom_site_type_symbol
_atom_site_fract_x
_atom_site_fract_y
_atom_site_fract_z
Nb1 Nb 0.000 0.248 0.500
Ir1 Ir 0.000 0.000 0.000
Pt1 Pt 0.500 0.500 0.500
# Energy relative to the elements in meV/atom: -405
# Calculated total energy in eV/f.u.: -78.72

---

# 13
# PBE-GGA NbIrPt2, optimized geometry
data_NbIrPt2
_symmetry_space_group_name_H-M 'F -4 3 m'
_symmetry_Int_Tables_number 216
_symmetry_space_group_name_Hall 'F -4 2 3'
_cell_length_a 6.350
_cell_length_b 6.350
_cell_length_c 6.350
_cell_angle_alpha 90.00
_cell_angle_beta 90.00
_cell_angle_gamma 90.00
loop_
_atom_site_label
_atom_site_type_symbol
_atom_site_fract_x
_atom_site_fract_y
_atom_site_fract_z
Nb1 Nb 0.000 0.000 0.000
Ir1 Ir 0.250 0.250 0.250
Pt1 Pt 0.000 0.000 0.500
Pt2 Pt 0.250 0.250 0.750
# Energy relative to the elements in meV/atom: -256
# Calculated total energy in eV/f.u.: -32.08

---

# 14
# PBE-GGA PuNbIr, optimized geometry
data_PuNbIr
_symmetry_space_group_name_H-M 'F -4 3 m'
_symmetry_Int_Tables_number 216
_symmetry_space_group_name_Hall 'F -4 2 3'
_cell_length_a 6.246
_cell_length_b 6.246
_cell_length_c 6.246
_cell_angle_alpha 90.00
_cell_angle_beta 90.00
_cell_angle_gamma 90.00
loop_
_atom_site_label
_atom_site_type_symbol
_atom_site_fract_x
_atom_site_fract_y
_atom_site_fract_z
Pu1 Pu 0.000 0.000 0.000
Nb1 Nb 0.250 0.250 0.250
Ir1 Ir 0.250 0.250 0.750
# E above lowest polymorph in eV/f.u.: 0.965
# Energy relative to the elements in meV/atom: 388
# Calculated total energy in eV/f.u.: -31.91

---

# 15
# PBE-GGA PuNbIr, optimized geometry
data_PuNbIr
_symmetry_space_group_name_H-M 'F -4 3 m'
_symmetry_Int_Tables_number 216
_symmetry_space_group_name_Hall 'F -4 2 3'
_cell_length_a 6.350
_cell_length_b 6.350
_cell_length_c 6.350
_cell_angle_alpha 90.00
_cell_angle_beta 90.00
_cell_angle_gamma 90.00
loop_
_atom_site_label
_atom_site_type_symbol
_atom_site_fract_x
_atom_site_fract_y
_atom_site_fract_z
Pu1 Pu 0.000 0.000 0.000
Nb1 Nb 0.000 0.000 0.500
Ir1 Ir 0.250 0.250 0.250
# E above lowest polymorph in eV/f.u.: 0.000
# Energy relative to the elements in meV/atom: 67
# Calculated total energy in eV/f.u.: -32.88

---

# 16
# PBE-GGA RbNbIr, optimized geometry
data_RbNbIr
_symmetry_space_group_name_H-M 'F -4 3 m'
_symmetry_Int_Tables_number 216
_symmetry_space_group_name_Hall 'F -4 2 3'
_cell_length_a 6.494
_cell_length_b 6.494
_cell_length_c 6.494
_cell_angle_alpha 90.00
_cell_angle_beta 90.00
_cell_angle_gamma 90.00
loop_
_atom_site_label
_atom_site_type_symbol
_atom_site_fract_x
_atom_site_fract_y
_atom_site_fract_z
Rb1 Rb 0.000 0.000 0.000
Nb1 Nb 0.250 0.250 0.250
Ir1 Ir 0.000 0.000 0.500
# E above lowest polymorph in eV/f.u.: 0.000
# Calculated total energy in eV/f.u.: -15.78

---

# 17
# PBE-GGA RbNbIr, optimized geometry
data_RbNbIr
_symmetry_space_group_name_H-M 'F -4 3 m'
_symmetry_Int_Tables_number 216
_symmetry_space_group_name_Hall 'F -4 2 3'
_cell_length_a 6.478
_cell_length_b 6.478
_cell_length_c 6.478
_cell_angle_alpha 90.00
_cell_angle_beta 90.00
_cell_angle_gamma 90.00
loop_
_atom_site_label
_atom_site_type_symbol
_atom_site_fract_x
_atom_site_fract_y
_atom_site_fract_z
Rb1 Rb 0.000 0.000 0.000
Nb1 Nb 0.250 0.250 0.250
Ir1 Ir 0.250 0.250 0.750
# E above lowest polymorph in eV/f.u.: 3.636
# Calculated total energy in eV/f.u.: -12.15

---

# 18
# PBE-GGA Nb2ReIr, optimized geometry
data_Nb2ReIr
_symmetry_space_group_name_H-M 'F -4 3 m'
_symmetry_Int_Tables_number 216
_symmetry_space_group_name_Hall 'F -4 2 3'
_cell_length_a 6.388
_cell_length_b 6.388
_cell_length_c 6.388
_cell_angle_alpha 90.00
_cell_angle_beta 90.00
_cell_angle_gamma 90.00
loop_
_atom_site_label
_atom_site_type_symbol
_atom_site_fract_x
_atom_site_fract_y
_atom_site_fract_z
Nb1 Nb 0.000 0.000 0.000
Nb2 Nb 0.250 0.250 0.250
Re1 Re 0.000 0.000 0.500
Ir1 Ir 0.250 0.250 0.750
# Energy relative to the elements in meV/atom: -46
# Calculated total energy in eV/f.u.: -41.65

---

# 19
# PBE-GGA NbSbIr2, optimized geometry
data_NbSbIr2
_symmetry_space_group_name_H-M 'F -4 3 m'
_symmetry_Int_Tables_number 216
_symmetry_space_group_name_Hall 'F -4 2 3'
_cell_length_a 6.464
_cell_length_b 6.464
_cell_length_c 6.464
_cell_angle_alpha 90.00
_cell_angle_beta 90.00
_cell_angle_gamma 90.00
loop_
_atom_site_label
_atom_site_type_symbol
_atom_site_fract_x
_atom_site_fract_y
_atom_site_fract_z
Nb1 Nb 0.000 0.000 0.000
Sb1 Sb 0.250 0.250 0.750
Ir1 Ir 0.000 0.000 0.500
Ir2 Ir 0.250 0.250 0.250
# Calculated total energy in eV/f.u.: -31.70

---

# 20
# PBE-GGA NbSb2Ir2, optimized geometry
data_NbSb2Ir2
_symmetry_space_group_name_H-M 'C m c m'
_symmetry_Int_Tables_number 63
_symmetry_space_group_name_Hall '-C 2c 2'
_cell_length_a 4.350
_cell_length_b 7.628
_cell_length_c 12.183
_cell_angle_alpha 90.00
_cell_angle_beta 90.00
_cell_angle_gamma 90.00
loop_
_atom_site_label
_atom_site_type_symbol
_atom_site_fract_x
_atom_site_fract_y
_atom_site_fract_z
Nb1 Nb 0.000 0.002 0.250
Sb1 Sb 0.000 0.335 0.083
Ir1 Ir 0.000 0.334 0.639
# Calculated total energy in eV/f.u.: -37.15